Crystalline FeNiOsRh at its relaxed geometry. Source: Alexandria via LeMat-Bulk, functional GGA-PBE.

CIF file:
```
data_FeNiOsRh
_chemical_formula_sum 'Fe4 Ni4 Os4 Rh4'
_cell_length_a 5.901
_cell_length_b 5.901
_cell_length_c 5.901
_cell_angle_alpha 90.00
_cell_angle_beta 90.00
_cell_angle_gamma 90.00
_space_group_name_H-M_alt 'F -4 3 m'
_space_group_IT_number 216
_space_group_name_Hall 'F -4 2 3'
loop_
_atom_site_label
_atom_site_type_symbol
_atom_site_fract_x
_atom_site_fract_y
_atom_site_fract_z
Fe1 Fe 0.000 0.000 0.000
Ni1 Ni 0.000 0.000 0.500
Os1 Os 0.250 0.250 0.750
Rh1 Rh 0.250 0.250 0.250
```

Summary:
Formation energy from the elements in eV per atom: 0.16

Crystalline LiAl2As at its relaxed geometry. Source: Alexandria via LeMat-Bulk, functional GGA-PBE.

CIF file:
```
data_LiAl2As
_chemical_formula_sum 'Li1 Al2 As1'
_cell_length_a 3.893
_cell_length_b 3.893
_cell_length_c 4.470
_cell_angle_alpha 90.00
_cell_angle_beta 90.00
_cell_angle_gamma 90.00
_space_group_name_H-M_alt 'P 4/m m m'
_space_group_IT_number 123
_space_group_name_Hall '-P 4 2'
loop_
_atom_site_label
_atom_site_type_symbol
_atom_site_fract_x
_atom_site_fract_y
_atom_site_fract_z
Li1 Li 0.000 0.000 0.000
Al1 Al 0.000 0.500 0.500
As1 As 0.500 0.500 0.000
```

Summary:
Formation energy from the elements in eV per atom: -0.16

Crystalline Hf3NbIn at its relaxed geometry. Source: Alexandria via LeMat-Bulk, functional GGA-PBE.

CIF file:
```
data_Hf3NbIn
_chemical_formula_sum 'Hf24 Nb8 In8'
_cell_length_a 11.487
_cell_length_b 10.136
_cell_length_c 8.378
_cell_angle_alpha 90.00
_cell_angle_beta 118.07
_cell_angle_gamma 90.00
_space_group_name_H-M_alt 'C 1 2/c 1'
_space_group_IT_number 15
loop_
_space_group_symop_operation_xyz
'x,y,z'
'-x,-y,-z'
'-x,y,-z+1/2'
'x,-y,z+1/2'
'x+1/2,y+1/2,z'
'-x+1/2,-y+1/2,-z'
'-x+1/2,y+1/2,-z+1/2'
'x+1/2,-y+1/2,z+1/2'
loop_
_atom_site_label
_atom_site_type_symbol
_atom_site_fract_x
_atom_site_fract_y
_atom_site_fract_z
Hf1 Hf 0.133 0.154 0.138
Hf2 Hf 0.180 0.138 0.542
Hf3 Hf 0.194 0.427 0.062
Nb1 Nb 0.087 0.341 0.687
In1 In 0.000 0.068 0.750
In2 In 0.000 0.375 0.250
```

Summary:
Formation energy from the elements in eV per atom: 0.04
Energy above the lowest structure with this stoichiometry in meV/atom: 58

Crystalline Si2IrSe at its relaxed geometry. Source: Alexandria via LeMat-Bulk, functional GGA-PBE.

CIF file:
```
data_Si2IrSe
_chemical_formula_sum 'Si4 Ir2 Se2'
_cell_length_a 4.462
_cell_length_b 4.462
_cell_length_c 6.265
_cell_angle_alpha 90.00
_cell_angle_beta 90.00
_cell_angle_gamma 90.00
_space_group_name_H-M_alt 'I -4 m 2'
_space_group_IT_number 119
_space_group_name_Hall 'I -4 -2'
loop_
_atom_site_label
_atom_site_type_symbol
_atom_site_fract_x
_atom_site_fract_y
_atom_site_fract_z
Si1 Si 0.000 0.000 0.000
Si2 Si 0.000 0.500 0.250
Ir1 Ir 0.000 0.500 0.750
Se1 Se 0.000 0.000 0.500
```

Summary:
Uncorrected formation energy in eV/atom: 0.43